DyYHg2 | meta-GGA SCAN | PBEsol geometry

abc: 7.3135 7.3135 7.3135
angles: 90.00 90.00 90.00
Closest atoms and distances in Å follow each position.
Space group Fm-3m (No. 225)
Inequivalent atoms, fractional coordinates:
Dy1 0.0000 0.0000 0.0000  8 Hg 3.17
Y1 0.0000 0.0000 0.5000  8 Hg 3.17
Hg1 0.2500 0.2500 0.2500  4 Dy 3.17, 4 Y 3.17

V (Å³ per cell): 391.2
Electronic total energy (eV/atom): -53.73
Magnetic moment (μB per formula unit): 0.00
ΔH_f (0 K) (eV per atom): -0.742


SrZrAs2 | meta-GGA SCAN | PBEsol geometry

abc: 3.9802 3.9802 21.0388
angles: 90.00 90.00 120.00
Closest atoms and distances in Å follow each position.
Space group R-3m (No. 166, hexagonal axes)
Inequivalent atoms, fractional coordinates:
Sr1 0.0000 0.0000 0.0000  6 As 3.05
Zr1 0.0000 0.0000 0.5000  6 As 2.75
As1 0.0000 0.0000 0.2381  3 Zr 2.75, 3 Sr 3.05

V (Å³ per cell): 288.7
Electronic total energy (eV/atom): -24.65
Magnetic moment (μB per formula unit): 0.00
ΔH_f (0 K) (eV per atom): -1.314